[1]
Ca2ScGaH (GGA-PBE, relaxed); spin magnetization = 0.4 μB/cell; uncorrected energy = -3.563 eV/atom
1.0
-1.111 -4.373 1.309
4.452 -0.740 1.304
-1.016 1.561 4.354
H Ga Sc Ca
1 1 1 2
direct
0.000 0.000 0.000
0.500 0.500 0.500
0.000 0.000 0.500
0.000 0.500 0.000
0.500 0.000 0.000



[2]
BaBeFe (GGA-PBE, relaxed); spin magnetization = 2.2 μB/cell; formation energy = 325 kJ/mol of formula units; relative energy among the computed polymorphs = 1.57 eV/f.u.; uncorrected energy = -3.580 eV/atom
1.0
-4.289 -1.833 1.140
-0.300 -4.387 1.929
-1.242 -0.516 4.610
Be Ba Fe
1 1 1
direct
0.750 0.750 0.750
0.500 0.500 0.500
0.000 0.000 0.000



[3]
CdCu2HRu (GGA-PBE, relaxed); spin magnetization = 0.0 μB/cell; uncorrected energy = -4.220 eV/atom
1.0
-1.807 3.478 -0.881
-3.518 -1.911 -0.329
-0.655 0.580 3.636
H Cu Cd Ru
1 2 1 1
direct
0.000 0.000 0.000
0.500 0.000 0.000
0.000 0.500 0.000
0.500 0.500 0.500
0.000 0.000 0.500



Please write out number 1 again, unchanged.
Ca2ScGaH (GGA-PBE, relaxed); spin magnetization = 0.4 μB/cell; uncorrected energy = -3.563 eV/atom
1.0
-1.111 -4.373 1.309
4.452 -0.740 1.304
-1.016 1.561 4.354
H Ga Sc Ca
1 1 1 2
direct
0.000 0.000 0.000
0.500 0.500 0.500
0.000 0.000 0.500
0.000 0.500 0.000
0.500 0.000 0.000



Q: Number 1 is which compound?
A: Ca2ScGaH



Copy entry 3 word for word.
CdCu2HRu (GGA-PBE, relaxed); spin magnetization = 0.0 μB/cell; uncorrected energy = -4.220 eV/atom
1.0
-1.807 3.478 -0.881
-3.518 -1.911 -0.329
-0.655 0.580 3.636
H Cu Cd Ru
1 2 1 1
direct
0.000 0.000 0.000
0.500 0.000 0.000
0.000 0.500 0.000
0.500 0.500 0.500
0.000 0.000 0.500



Repeat the first record exactly.
Ca2ScGaH (GGA-PBE, relaxed); spin magnetization = 0.4 μB/cell; uncorrected energy = -3.563 eV/atom
1.0
-1.111 -4.373 1.309
4.452 -0.740 1.304
-1.016 1.561 4.354
H Ga Sc Ca
1 1 1 2
direct
0.000 0.000 0.000
0.500 0.500 0.500
0.000 0.000 0.500
0.000 0.500 0.000
0.500 0.000 0.000